(1)
## V3P2O8 (GGA-PBEsol)

Data for a geometry-optimized V3P2O8 structure.

a = 8.303 Å, b = 11.631 Å, c = 6.216 Å
α = 90.00°, β = 100.59°, γ = 90.00°
Space group P2_1/c (No. 14)
Asymmetric unit:
V 0.058 0.111 0.141 [4 per cell]
V 0.275 0.089 0.675 [4 per cell]
V 0.379 0.689 0.626 [4 per cell]
P 0.095 0.632 0.897 [4 per cell]
P 0.394 0.085 0.195 [4 per cell]
O 0.062 0.206 0.609 [4 per cell]
O 0.077 0.563 0.678 [4 per cell]
O 0.127 0.562 0.111 [4 per cell]
O 0.247 0.709 0.889 [4 per cell]
O 0.257 0.079 0.988 [4 per cell]
O 0.292 0.124 0.367 [4 per cell]
O 0.477 0.675 0.337 [4 per cell]
O 0.481 0.533 0.747 [4 per cell]

Output
uncorrected energy	-8.24	eV per atom
crystal system	monoclinic
ΔE_f (raw)	-1.89	eV per atom

(2)
## ZnOs3Pd (GGA-PBEsol)

Data for a geometry-optimized ZnOs3Pd structure.

a = 4.387 Å, b = 4.387 Å, c = 4.387 Å
α = 90.00°, β = 90.00°, γ = 90.00°
Space group Pm-3m (No. 221)
Asymmetric unit:
Zn 0.000 0.000 0.000 [1 per cell]
Os 0.000 0.000 0.500 [3 per cell]
Pd 0.500 0.500 0.500 [1 per cell]

Output
uncorrected energy	-6.56	eV per atom
crystal system	cubic
formation enthalpy at 0 K	11.38	eV per formula unit

(3)
## Hf2CuOs (GGA-PBEsol)

Data for a geometry-optimized Hf2CuOs structure.

a = 6.428 Å, b = 6.428 Å, c = 6.428 Å
α = 90.00°, β = 90.00°, γ = 90.00°
Space group Fm-3m (No. 225)
Asymmetric unit:
Hf 0.250 0.250 0.250 [8 per cell]
Cu 0.000 0.000 0.000 [4 per cell]
Os 0.000 0.000 0.500 [4 per cell]

Output
uncorrected energy	-9.81	eV per atom
crystal system	cubic
formation enthalpy at 0 K	-1.69	eV per formula unit

(4)
## CaAlIn2 (GGA-PBEsol)

Data for a geometry-optimized CaAlIn2 structure.

a = 9.470 Å, b = 3.610 Å, c = 5.871 Å
α = 90.00°, β = 102.53°, γ = 90.00°
Space group C2/m (No. 12)
Asymmetric unit:
Ca 0.000 0.000 0.000 [2 per cell]
Al 0.000 0.500 0.500 [2 per cell]
In 0.239 0.000 0.713 [4 per cell]

Output
uncorrected energy	-3.22	eV per atom
crystal system	monoclinic
formation enthalpy at 0 K	-0.70	eV per formula unit

(5)
## PbCl (GGA-PBEsol)

Data for a geometry-optimized PbCl structure.

a = 3.654 Å, b = 5.944 Å, c = 10.160 Å
α = 90.00°, β = 90.00°, γ = 90.00°
Space group Cmme (No. 67)
Asymmetric unit:
Pb 0.000 0.250 0.156 [4 per cell]
Cl 0.000 0.250 0.646 [4 per cell]

Output
uncorrected energy	-3.45	eV per atom
crystal system	orthorhombic
ΔE_f (raw)	-0.45	eV per atom

(6)
## Y2SbAs (GGA-PBEsol)

Data for a geometry-optimized Y2SbAs structure.

a = 4.1725 Å, b = 4.1725 Å, c = 20.7295 Å
α = 90.00°, β = 90.00°, γ = 120.00°
Space group R-3m (No. 166, hexagonal axes)
Asymmetric unit:
Y 0.0000 0.0000 0.2441 [6 per cell]
Sb 0.0000 0.0000 0.0000 [3 per cell]
As 0.0000 0.0000 0.5000 [3 per cell]

Output
uncorrected energy	-7.20	eV per atom
crystal system	trigonal
ΔE_f (raw)	-1.38	eV per atom

Which formula does entry 6 have? Y2SbAs